1.
20
Lattice="-0.8682 -1.5785 5.0656 -3.5113 -4.9964 -2.6164 5.1581 -4.0997 -0.8512" Properties=species:S:1:pos:R:3 comment="NiPdO3, optimized geometry, DFT PBE with a Hubbard U" energy_ev_per_fu=-25.23 volume_a3_per_cell=235.11 pbc="T T T"
Ni -0.9270 -4.0675 2.3042
Ni 1.1771 -3.1055 0.1114
Ni -0.3984 -7.5691 1.4867
Ni 1.7057 -6.6071 -0.7061
Pd -1.4278 -5.1531 -0.8816
Pd 4.1763 -4.5734 0.2595
Pd 2.2065 -5.5215 2.4796
Pd -3.3976 -6.1012 1.3385
O -1.0778 -1.9965 2.5027
O 0.8289 -1.0549 0.2697
O -0.0503 -9.6197 1.3283
O 1.8565 -8.6781 -0.9046
O 0.6393 -4.6081 3.2940
O -0.5108 -3.9826 0.4386
O 1.2895 -6.6919 1.1594
O 0.1394 -6.0665 -1.6959
O -2.3543 -5.2504 2.8117
O 2.4990 -4.0040 1.1787
O -1.7203 -6.6706 0.4193
O 3.1330 -5.4242 -1.2137

2.
12
Lattice="-2.2042 -0.5321 -3.5896 3.2070 -5.1817 -1.2012 -2.5441 -1.7207 4.3282" Properties=species:S:1:pos:R:3 comment="Ni2PdO3, optimized geometry, DFT PBE with a Hubbard U" energy_ev_per_fu=-29.09 volume_a3_per_cell=126.88 pbc="T T T"
Ni -0.4648 -4.0021 -1.6323
Ni -2.0683 -1.4112 -1.0318
Ni 0.5270 -6.0232 0.5692
Ni -1.0765 -3.4323 1.1698
Pd 0.2011 -4.4183 -4.4904
Pd 0.8017 -1.2954 -0.3003
O -0.3003 -1.5614 -2.0951
O 1.3032 -4.1523 -2.6957
O -0.9612 -1.4255 0.8015
O -2.1836 -3.4180 -0.6635
O 0.6423 -4.0164 0.2010
O -0.5801 -6.0089 -1.2641

3.
5
Lattice="3.8779 0.0000 0.0000 0.0000 3.8779 0.0000 0.0000 0.0000 3.8779" Properties=species:S:1:pos:R:3 comment="NiPdO3, optimized geometry, DFT PBE with a Hubbard U" energy_ev_per_fu=-19.94 volume_a3_per_cell=58.32 pbc="T T T"
Ni 1.9390 1.9390 1.9390
O 0.0000 1.9390 0.0000
O 0.0000 0.0000 1.9390
O 1.9390 0.0000 0.0000
Pd 0.0000 0.0000 0.0000